A geometry-optimized LaEr9Th2 structure. Source: Alexandria via LeMat-Bulk, functional PBE.

Geometry as CIF:
```
data_LaEr9Th2
_space_group_name_H-M_alt 'P 4/m m m'
_space_group_IT_number 123
_space_group_name_Hall '-P 4 2'
_cell_length_a 5.001
_cell_length_b 5.001
_cell_length_c 15.054
_cell_angle_alpha 90.00
_cell_angle_beta 90.00
_cell_angle_gamma 90.00
loop_
_atom_site_label
_atom_site_type_symbol
_atom_site_fract_x
_atom_site_fract_y
_atom_site_fract_z
La1 La 0.000 0.000 0.000
Er1 Er 0.000 0.500 0.172
Er2 Er 0.000 0.500 0.500
Er3 Er 0.500 0.500 0.000
Er4 Er 0.500 0.500 0.335
Th1 Th 0.000 0.000 0.334
```

Properties
As for the total magnetic moment: 0.00 μB per cell. The calculation puts the volume at 376 Å³/cell.

=====

A geometry-optimized LaEr2Th structure. Source: Alexandria via LeMat-Bulk, functional PBE.

Geometry as CIF:
```
data_LaEr2Th
_space_group_name_H-M_alt 'F m -3 m'
_space_group_IT_number 225
_space_group_name_Hall '-F 4 2 3'
_cell_length_a 8.058
_cell_length_b 8.058
_cell_length_c 8.058
_cell_angle_alpha 90.00
_cell_angle_beta 90.00
_cell_angle_gamma 90.00
loop_
_atom_site_label
_atom_site_type_symbol
_atom_site_fract_x
_atom_site_fract_y
_atom_site_fract_z
La1 La 0.000 0.000 0.000
Er1 Er 0.250 0.250 0.250
Th1 Th 0.000 0.000 0.500
```

Properties
As for the total magnetic moment: 0.01 μB per cell. The calculation puts the volume at 523 Å³/cell. The value obtained for the energy above the most stable polymorph in this dataset is 104.4 meV per atom.

=====

A geometry-optimized LaEr2Th structure. Source: Alexandria via LeMat-Bulk, functional PBE.

Geometry as CIF:
```
data_LaEr2Th
_space_group_name_H-M_alt 'C m c m'
_space_group_IT_number 63
_space_group_name_Hall '-C 2c 2'
_cell_length_a 3.506
_cell_length_b 26.520
_cell_length_c 5.659
_cell_angle_alpha 90.00
_cell_angle_beta 90.00
_cell_angle_gamma 90.00
loop_
_atom_site_label
_atom_site_type_symbol
_atom_site_fract_x
_atom_site_fract_y
_atom_site_fract_z
La1 La 0.000 0.154 0.250
Er1 Er 0.000 0.226 0.750
Er2 Er 0.000 0.406 0.250
Th1 Th 0.000 0.030 0.250
```

Properties
As for the total magnetic moment: 0.00 μB per cell. The calculation puts the volume at 526 Å³/cell. The value obtained for the energy above the most stable polymorph in this dataset is 74.3 meV per atom.

=====

A geometry-optimized La2ErTh2 structure. Source: Alexandria via LeMat-Bulk, functional PBE.

Geometry as CIF:
```
data_La2ErTh2
_space_group_name_H-M_alt 'R -3 m'
_space_group_IT_number 166
_space_group_name_Hall '-R 3 2"'
_cell_length_a 3.6120
_cell_length_b 3.6120
_cell_length_c 44.5247
_cell_angle_alpha 90.00
_cell_angle_beta 90.00
_cell_angle_gamma 120.00
loop_
_atom_site_label
_atom_site_type_symbol
_atom_site_fract_x
_atom_site_fract_y
_atom_site_fract_z
La1 La 0.0000 0.0000 0.2045
Er1 Er 0.0000 0.0000 0.0000
Th1 Th 0.0000 0.0000 0.3975
```

Properties
As for the total magnetic moment: 0.00 μB per cell. The calculation puts the volume at 503 Å³/cell.

=====

A geometry-optimized La2Er5Th structure. Source: Alexandria via LeMat-Bulk, functional PBE.

Geometry as CIF:
```
data_La2Er5Th
_space_group_name_H-M_alt 'P b a m'
_space_group_IT_number 55
_space_group_name_Hall '-P 2 2ab'
_cell_length_a 7.099
_cell_length_b 14.233
_cell_length_c 5.126
_cell_angle_alpha 90.00
_cell_angle_beta 90.00
_cell_angle_gamma 90.00
loop_
_atom_site_label
_atom_site_type_symbol
_atom_site_fract_x
_atom_site_fract_y
_atom_site_fract_z
La1 La 0.247 0.125 0.000
Er1 Er 0.000 0.000 0.500
Er2 Er 0.012 0.748 0.500
Er3 Er 0.236 0.379 0.000
Th1 Th 0.000 0.500 0.500
```

Properties
As for the total magnetic moment: 0.00 μB per cell. The calculation puts the volume at 518 Å³/cell.

=====

A geometry-optimized La2ErTh structure. Source: Alexandria via LeMat-Bulk, functional PBE.

Geometry as CIF:
```
data_La2ErTh
_space_group_name_H-M_alt 'P 4/m m m'
_space_group_IT_number 123
_space_group_name_Hall '-P 4 2'
_cell_length_a 5.119
_cell_length_b 5.119
_cell_length_c 5.159
_cell_angle_alpha 90.00
_cell_angle_beta 90.00
_cell_angle_gamma 90.00
loop_
_atom_site_label
_atom_site_type_symbol
_atom_site_fract_x
_atom_site_fract_y
_atom_site_fract_z
La1 La 0.000 0.500 0.000
Er1 Er 0.000 0.000 0.500
Th1 Th 0.500 0.500 0.500
```

Properties
As for the total magnetic moment: 0.00 μB per cell. The calculation puts the volume at 135 Å³/cell. The value obtained for the energy above the most stable polymorph in this dataset is 30.1 meV per atom.

=====

A geometry-optimized LaEr2Th structure. Source: Alexandria via LeMat-Bulk, functional PBE.

Geometry as CIF:
```
data_LaEr2Th
_space_group_name_H-M_alt 'R -3 m'
_space_group_IT_number 166
_space_group_name_Hall '-R 3 2"'
_cell_length_a 3.5054
_cell_length_b 3.5054
_cell_length_c 37.1044
_cell_angle_alpha 90.00
_cell_angle_beta 90.00
_cell_angle_gamma 120.00
loop_
_atom_site_label
_atom_site_type_symbol
_atom_site_fract_x
_atom_site_fract_y
_atom_site_fract_z
La1 La 0.0000 0.0000 0.0000
Er1 Er 0.0000 0.0000 0.0921
Th1 Th 0.0000 0.0000 0.5000
```

Properties
As for the total magnetic moment: 0.00 μB per cell. The calculation puts the volume at 395 Å³/cell. The value obtained for the energy above the most stable polymorph in this dataset is 119.4 meV per atom.

=====

A geometry-optimized La2ErTh3 structure. Source: Alexandria via LeMat-Bulk, functional PBE.

Geometry as CIF:
```
data_La2ErTh3
_space_group_name_H-M_alt 'C m c m'
_space_group_IT_number 63
_space_group_name_Hall '-C 2c 2'
_cell_length_a 10.352
_cell_length_b 11.513
_cell_length_c 6.781
_cell_angle_alpha 90.00
_cell_angle_beta 90.00
_cell_angle_gamma 90.00
loop_
_atom_site_label
_atom_site_type_symbol
_atom_site_fract_x
_atom_site_fract_y
_atom_site_fract_z
La1 La 0.167 0.230 0.250
Er1 Er 0.000 0.272 0.750
Th1 Th 0.000 0.000 0.000
Th2 Th 0.166 0.500 0.000
```

Properties
As for the total magnetic moment: 0.00 μB per cell. The calculation puts the volume at 808 Å³/cell.

=====

A geometry-optimized La8Er3Th2 structure. Source: Alexandria via LeMat-Bulk, functional PBE.

Geometry as CIF:
```
data_La8Er3Th2
_space_group_name_H-M_alt 'C 1 2/m 1'
_space_group_IT_number 12
_space_group_name_Hall '-C 2y'
_cell_length_a 21.005
_cell_length_b 7.568
_cell_length_c 5.840
_cell_angle_alpha 90.00
_cell_angle_beta 90.03
_cell_angle_gamma 90.00
loop_
_atom_site_label
_atom_site_type_symbol
_atom_site_fract_x
_atom_site_fract_y
_atom_site_fract_z
La1 La 0.105 0.201 0.000
La2 La 0.134 0.500 0.500
La3 La 0.176 0.000 0.501
Er1 Er 0.000 0.225 0.500
Er2 Er 0.000 0.500 0.000
Th1 Th 0.243 0.500 0.999
```

Properties
As for the total magnetic moment: 0.00 μB per cell. The calculation puts the volume at 928 Å³/cell.

=====

A geometry-optimized La3Er12Th structure. Source: Alexandria via LeMat-Bulk, functional PBE.

Geometry as CIF:
```
data_La3Er12Th
_space_group_name_H-M_alt 'P 4/m m m'
_space_group_IT_number 123
_space_group_name_Hall '-P 4 2'
_cell_length_a 5.035
_cell_length_b 5.035
_cell_length_c 20.154
_cell_angle_alpha 90.00
_cell_angle_beta 90.00
_cell_angle_gamma 90.00
loop_
_atom_site_label
_atom_site_type_symbol
_atom_site_fract_x
_atom_site_fract_y
_atom_site_fract_z
La1 La 0.000 0.000 0.000
La2 La 0.000 0.000 0.251
Er1 Er 0.000 0.500 0.126
Er2 Er 0.000 0.500 0.379
Er3 Er 0.500 0.500 0.000
Er4 Er 0.500 0.500 0.252
Er5 Er 0.500 0.500 0.500
Th1 Th 0.000 0.000 0.500
```

Properties
As for the total magnetic moment: 0.00 μB per cell. The calculation puts the volume at 511 Å³/cell.

=====

A geometry-optimized La15Er4Th structure. Source: Alexandria via LeMat-Bulk, functional PBE.

Geometry as CIF:
```
data_La15Er4Th
_space_group_name_H-M_alt 'P 4/m m m'
_space_group_IT_number 123
_space_group_name_Hall '-P 4 2'
_cell_length_a 5.204
_cell_length_b 5.204
_cell_length_c 25.996
_cell_angle_alpha 90.00
_cell_angle_beta 90.00
_cell_angle_gamma 90.00
loop_
_atom_site_label
_atom_site_type_symbol
_atom_site_fract_x
_atom_site_fract_y
_atom_site_fract_z
La1 La 0.000 0.000 0.000
La2 La 0.000 0.000 0.202
La3 La 0.000 0.000 0.401
La4 La 0.000 0.500 0.098
La5 La 0.000 0.500 0.300
La6 La 0.000 0.500 0.500
Er1 Er 0.500 0.500 0.201
Er2 Er 0.500 0.500 0.400
Th1 Th 0.500 0.500 0.000
```

Properties
As for the total magnetic moment: 0.00 μB per cell. The calculation puts the volume at 704 Å³/cell.

=====

A geometry-optimized La2Er7Th2 structure. Source: Alexandria via LeMat-Bulk, functional PBE.

Geometry as CIF:
```
data_La2Er7Th2
_space_group_name_H-M_alt 'C 1 2/m 1'
_space_group_IT_number 12
_space_group_name_Hall '-C 2y'
_cell_length_a 10.172
_cell_length_b 16.502
_cell_length_c 5.091
_cell_angle_alpha 90.00
_cell_angle_beta 104.02
_cell_angle_gamma 90.00
loop_
_atom_site_label
_atom_site_type_symbol
_atom_site_fract_x
_atom_site_fract_y
_atom_site_fract_z
La1 La 0.000 0.173 0.000
Er1 Er 0.000 0.000 0.500
Er2 Er 0.129 0.342 0.792
Er3 Er 0.172 0.000 0.086
Th1 Th 0.115 0.500 0.303
```

Properties
As for the total magnetic moment: 0.00 μB per cell. The calculation puts the volume at 829 Å³/cell. The value obtained for the energy above the most stable polymorph in this dataset is 372.8 meV per atom.

=====

A geometry-optimized LaEr2Th4 structure. Source: Alexandria via LeMat-Bulk, functional PBE.

Geometry as CIF:
```
data_LaEr2Th4
_space_group_name_H-M_alt 'P 42/m n m'
_space_group_IT_number 136
_space_group_name_Hall '-P 4n 2n'
_cell_length_a 9.360
_cell_length_b 9.360
_cell_length_c 5.599
_cell_angle_alpha 90.00
_cell_angle_beta 90.00
_cell_angle_gamma 90.00
loop_
_atom_site_label
_atom_site_type_symbol
_atom_site_fract_x
_atom_site_fract_y
_atom_site_fract_z
La1 La 0.000 0.000 0.000
Er1 Er 0.187 0.187 0.500
Th1 Th 0.117 0.377 0.000
```

Properties
As for the total magnetic moment: 0.00 μB per cell. The calculation puts the volume at 490 Å³/cell.

=====

A geometry-optimized La5Er6Th2 structure. Source: Alexandria via LeMat-Bulk, functional PBE.

Geometry as CIF:
```
data_La5Er6Th2
_space_group_name_H-M_alt 'P b a m'
_space_group_IT_number 55
_space_group_name_Hall '-P 2 2ab'
_cell_length_a 11.608
_cell_length_b 21.093
_cell_length_c 3.606
_cell_angle_alpha 90.00
_cell_angle_beta 90.00
_cell_angle_gamma 90.00
loop_
_atom_site_label
_atom_site_type_symbol
_atom_site_fract_x
_atom_site_fract_y
_atom_site_fract_z
La1 La 0.000 0.000 0.000
La2 La 0.060 0.296 0.000
La3 La 0.192 0.580 0.000
Er1 Er 0.059 0.150 0.500
Er2 Er 0.084 0.439 0.500
Er3 Er 0.188 0.877 0.000
Th1 Th 0.193 0.737 0.500
```

Properties
As for the total magnetic moment: 0.00 μB per cell. The calculation puts the volume at 883 Å³/cell.

=====

A geometry-optimized La2Er5Th4 structure. Source: Alexandria via LeMat-Bulk, functional PBE.

Geometry as CIF:
```
data_La2Er5Th4
_space_group_name_H-M_alt 'C 1 2/m 1'
_space_group_IT_number 12
_space_group_name_Hall '-C 2y'
_cell_length_a 24.040
_cell_length_b 3.498
_cell_length_c 8.680
_cell_angle_alpha 90.00
_cell_angle_beta 94.18
_cell_angle_gamma 90.00
loop_
_atom_site_label
_atom_site_type_symbol
_atom_site_fract_x
_atom_site_fract_y
_atom_site_fract_z
La1 La 0.228 0.000 0.324
Er1 Er 0.000 0.000 0.500
Er2 Er 0.128 0.500 0.538
Er3 Er 0.184 0.500 0.972
Th1 Th 0.044 0.500 0.847
Th2 Th 0.084 0.000 0.182
```

Properties
As for the total magnetic moment: 0.00 μB per cell. The calculation puts the volume at 728 Å³/cell.

=====

A geometry-optimized LaEr8Th2 structure. Source: Alexandria via LeMat-Bulk, functional PBE.

Geometry as CIF:
```
data_LaEr8Th2
_space_group_name_H-M_alt 'C 1 2/m 1'
_space_group_IT_number 12
_space_group_name_Hall '-C 2y'
_cell_length_a 8.982
_cell_length_b 16.050
_cell_length_c 5.925
_cell_angle_alpha 90.00
_cell_angle_beta 123.35
_cell_angle_gamma 90.00
loop_
_atom_site_label
_atom_site_type_symbol
_atom_site_fract_x
_atom_site_fract_y
_atom_site_fract_z
La1 La 0.000 0.000 0.000
Er1 Er 0.000 0.211 0.000
Er2 Er 0.070 0.500 0.792
Er3 Er 0.219 0.119 0.680
Th1 Th 0.000 0.306 0.500
```

Properties
As for the total magnetic moment: 0.00 μB per cell. The calculation puts the volume at 713 Å³/cell. The value obtained for the energy above the most stable polymorph in this dataset is 28.9 meV per atom.

=====

A geometry-optimized La3Er8Th structure. Source: Alexandria via LeMat-Bulk, functional PBE.

Geometry as CIF:
```
data_La3Er8Th
_space_group_name_H-M_alt 'C 1 2 1'
_space_group_IT_number 5
_space_group_name_Hall 'C 2y'
_cell_length_a 15.249
_cell_length_b 8.787
_cell_length_c 6.465
_cell_angle_alpha 90.00
_cell_angle_beta 114.86
_cell_angle_gamma 90.00
loop_
_atom_site_label
_atom_site_type_symbol
_atom_site_fract_x
_atom_site_fract_y
_atom_site_fract_z
La1 La 0.000 0.000 0.000
La2 La 0.128 0.047 0.626
Er1 Er 0.072 0.676 0.308
Er2 Er 0.127 0.335 0.108
Er3 Er 0.167 0.678 0.896
Er4 Er 0.248 0.420 0.663
Th1 Th 0.000 0.377 0.500
```

Properties
As for the total magnetic moment: 0.00 μB per cell. The calculation puts the volume at 786 Å³/cell.

=====

A geometry-optimized LaEr14Th structure. Source: Alexandria via LeMat-Bulk, functional PBE.

Geometry as CIF:
```
data_LaEr14Th
_space_group_name_H-M_alt 'A m m 2'
_space_group_IT_number 38
_space_group_name_Hall 'A 2 -2'
_cell_length_a 11.046
_cell_length_b 8.080
_cell_length_c 11.181
_cell_angle_alpha 90.00
_cell_angle_beta 90.00
_cell_angle_gamma 90.00
loop_
_atom_site_label
_atom_site_type_symbol
_atom_site_fract_x
_atom_site_fract_y
_atom_site_fract_z
La1 La 0.000 0.000 0.000
Er1 Er 0.000 0.206 0.721
Er2 Er 0.237 0.000 0.205
Er3 Er 0.252 0.212 0.924
Er4 Er 0.267 0.000 0.647
Er5 Er 0.500 0.000 0.409
Er6 Er 0.500 0.000 0.857
Er7 Er 0.500 0.206 0.135
Th1 Th 0.000 0.000 0.434
```

Properties
As for the total magnetic moment: 0.00 μB per cell. The calculation puts the volume at 998 Å³/cell.

=====

A geometry-optimized LaEr3Th4 structure. Source: Alexandria via LeMat-Bulk, functional PBE.

Geometry as CIF:
```
data_LaEr3Th4
_space_group_name_H-M_alt 'C 1 2/m 1'
_space_group_IT_number 12
_space_group_name_Hall '-C 2y'
_cell_length_a 19.010
_cell_length_b 3.471
_cell_length_c 8.823
_cell_angle_alpha 90.00
_cell_angle_beta 111.15
_cell_angle_gamma 90.00
loop_
_atom_site_label
_atom_site_type_symbol
_atom_site_fract_x
_atom_site_fract_y
_atom_site_fract_z
La1 La 0.000 0.000 0.000
Er1 Er 0.000 0.500 0.500
Er2 Er 0.199 0.500 0.153
Th1 Th 0.120 0.000 0.805
Th2 Th 0.163 0.000 0.467
```

Properties
As for the total magnetic moment: 0.00 μB per cell. The calculation puts the volume at 543 Å³/cell.

=====

A geometry-optimized La4Er2Th structure. Source: Alexandria via LeMat-Bulk, functional PBE.

Geometry as CIF:
```
data_La4Er2Th
_space_group_name_H-M_alt 'R -3 m'
_space_group_IT_number 166
_space_group_name_Hall '-R 3 2"'
_cell_length_a 3.5902
_cell_length_b 3.5902
_cell_length_c 65.3021
_cell_angle_alpha 90.00
_cell_angle_beta 90.00
_cell_angle_gamma 120.00
loop_
_atom_site_label
_atom_site_type_symbol
_atom_site_fract_x
_atom_site_fract_y
_atom_site_fract_z
La1 La 0.0000 0.0000 0.1406
La2 La 0.0000 0.0000 0.2890
Er1 Er 0.0000 0.0000 0.2363
Th1 Th 0.0000 0.0000 0.0000
```

Properties
As for the total magnetic moment: 0.00 μB per cell. The calculation puts the volume at 729 Å³/cell. The value obtained for the energy above the most stable polymorph in this dataset is 0.0 meV per atom.

=====

Total energy? In order: -0.185 -0.193 -0.194 -0.214 -0.183 -0.199 -0.193 -0.218 -0.184 -0.175 -0.182 -0.169 -0.219 -0.185 -0.204 -0.181 -0.175 -0.173 -0.211 -0.187 Ha/atom.
Formation energy? In order: 0.034 0.107 0.077 0.029 0.034 0.054 0.122 0.192 0.219 0.036 0.019 0.561 0.280 0.106 0.125 0.198 0.130 0.061 0.290 0.088 eV/atom.